Record 1
Computed, not measured: crystalline YZn2Cd9 at its relaxed geometry at the PBE level of DFT.

Lattice parameters (Å, degrees): 7.4757 9.1312 9.1312 80.35 65.84 65.84
With the nearest neighbours (Å) after each atom.
Atoms (fractional coordinates):
Y 0.5000 0.0000 0.0000  18 Cd 3.49-3.89
Y 0.2500 0.5000 0.5000  18 Cd 3.49-3.89
Zn 0.8750 0.2500 0.7500  10 Cd 2.81-3.09
Zn 0.8750 0.7500 0.2500  10 Cd 2.81-3.09
Zn 0.8750 0.2500 0.2500  10 Cd 2.81-3.09
Zn 0.3750 0.7500 0.7500  10 Cd 2.81-3.09
Cd 0.7500 0.5000 0.5000  4 Zn 3.09, 8 Cd 3.09
Cd 0.0000 0.0000 0.0000  4 Zn 3.09, 8 Cd 3.09
Cd 0.9905 0.9271 0.6850  2 Zn 2.81-2.92, 5 Cd 2.85-3.09
Cd 0.6026 0.0729 0.3150  2 Zn 2.81-2.92, 5 Cd 2.85-3.09
Cd 0.6676 0.1850 0.5729  2 Zn 2.81-2.92, 5 Cd 2.85-3.09
Cd 0.4254 0.8150 0.4271  2 Zn 2.81-2.92, 5 Cd 2.85-3.09
Cd 0.7595 0.8150 0.5729  2 Zn 2.81-2.92, 5 Cd 2.85-3.09
Cd 0.1474 0.1850 0.4271  2 Zn 2.81-2.92, 5 Cd 2.85-3.09
Cd 0.0824 0.9271 0.3150  2 Zn 2.81-2.92, 5 Cd 2.85-3.09
Cd 0.3246 0.0729 0.6850  2 Zn 2.81-2.92, 5 Cd 2.85-3.09
Cd 0.7595 0.5729 0.8150  2 Zn 2.81-2.92, 5 Cd 2.85-3.09
Cd 0.1474 0.4271 0.1850  2 Zn 2.81-2.92, 5 Cd 2.85-3.09
Cd 0.0824 0.3150 0.9271  2 Zn 2.81-2.92, 5 Cd 2.85-3.09
Cd 0.3246 0.6850 0.0729  2 Zn 2.81-2.92, 5 Cd 2.85-3.09
Cd 0.9905 0.6850 0.9271  2 Zn 2.81-2.92, 5 Cd 2.85-3.09
Cd 0.6026 0.3150 0.0729  2 Zn 2.81-2.92, 5 Cd 2.85-3.09
Cd 0.6676 0.5729 0.1850  2 Zn 2.81-2.92, 5 Cd 2.85-3.09
Cd 0.4254 0.4271 0.8150  2 Zn 2.81-2.92, 5 Cd 2.85-3.09

## Properties
energy of formation from the pure elements = -0.06 eV/atom
calculated density = 7.9 g/cm3

---

Record 2
Computed, not measured: crystalline KRhSe2Br at its relaxed geometry at the PBE level of DFT.

Lattice parameters (Å, degrees): 5.8874 5.8874 5.8539 90.00 90.00 90.00
With the nearest neighbours (Å) after each atom.
Atoms (fractional coordinates):
K 0.0000 0.0000 0.0000  2 Br 2.93, 4 Se 2.94
Rh 0.5000 0.5000 0.5000  8 Se 4.15, 4 Br 4.16
Se 0.0000 0.5000 0.0000  2 K 2.94
Se 0.5000 0.0000 0.0000  2 K 2.94
Br 0.0000 0.0000 0.5000  2 K 2.93

## Properties
polymorph energy (0 for the lowest one) = 1.580 eV/atom
calculated density = 3.1 g/cm3

---

Record 3
Computed, not measured: crystalline LiSbPb4 at its relaxed geometry at the PBE level of DFT.

Lattice parameters (Å, degrees): 6.4808 6.4808 6.4808 60.00 60.00 60.00
With the nearest neighbours (Å) after each atom.
Atoms (fractional coordinates):
Li 0.0000 0.0000 0.0000  12 Pb 3.80, 4 Sb 3.97
Sb 0.7500 0.7500 0.7500  12 Pb 3.80, 4 Li 3.97
Pb 0.8759 0.3747 0.3747  6 Pb 3.23-3.25
Pb 0.3747 0.3747 0.8759  6 Pb 3.23-3.25
Pb 0.3747 0.8759 0.3747  6 Pb 3.23-3.25
Pb 0.3747 0.3747 0.3747  6 Pb 3.23-3.25

## Properties
E = -19.8 eV for the cell shown
calculated density = 8.3 g/cm3

---

Record 4
Computed, not measured: crystalline BaCa2Tl2 at its relaxed geometry at the PBE level of DFT.

Lattice parameters (Å, degrees): 5.8110 5.8110 6.6147 90.00 90.00 120.00
With the nearest neighbours (Å) after each atom.
Atoms (fractional coordinates):
Ba 0.0000 0.0000 0.0000  6 Tl 3.55
Ca 0.3333 0.6667 0.6619  5 Tl 3.23-3.53
Ca 0.6667 0.3333 0.3381  5 Tl 3.23-3.53
Tl 0.3333 0.6667 0.1731  5 Ca 3.23-3.53, 3 Ba 3.55
Tl 0.6667 0.3333 0.8269  5 Ca 3.23-3.53, 3 Ba 3.55

## Properties
polymorph energy (0 for the lowest one) = 0.072 eV/atom
energy of formation from the pure elements = -0.27 eV/atom
calculated density = 5.4 g/cm3